[1]
LaSiNF2: optimized geometry, GGA-PBE.

Computed properties:
Raw formation energy ... -1.56 eV/atom
Electronic total energy ... -30.2 eV/cell
Energy above the lowest structure with this stoichiometry ... 0.000 eV/atom
Total magnetization ... 0.19 μB/cell

Cell: 4.514 4.514 3.475 Å, 90.00 90.00 90.00°
Positions (direct):
La 0.000 0.000 0.000
Si 0.500 0.500 0.500
N 0.500 0.500 0.000
F 0.000 0.500 0.500
F 0.500 0.000 0.500

=====

[2]
PrTh2Tc: optimized geometry, GGA-PBE.

Computed properties:
Electronic total energy ... -121.4 eV/cell
Energy above the lowest structure with this stoichiometry ... 0.000 eV/atom
Energy of formation ... -0.090 eV/atom
Total magnetization ... 0.00 μB/cell

Cell: 7.351 9.729 6.515 Å, 90.00 90.00 90.00°
Positions (direct):
Pr 0.040 0.250 0.140
Pr 0.460 0.750 0.640
Pr 0.540 0.250 0.360
Pr 0.960 0.750 0.860
Th 0.170 0.063 0.668
Th 0.170 0.437 0.668
Th 0.330 0.563 0.168
Th 0.330 0.937 0.168
Th 0.670 0.063 0.832
Th 0.670 0.437 0.832
Th 0.830 0.563 0.332
Th 0.830 0.937 0.332
Tc 0.109 0.750 0.396
Tc 0.391 0.250 0.896
Tc 0.609 0.750 0.104
Tc 0.891 0.250 0.604

=====

[3]
CaCoTeOs2: optimized geometry, GGA-PBE.

Computed properties:
Raw formation energy ... 1.30 eV/atom
Electronic total energy ... -28.2 eV/cell
Total magnetization ... 1.61 μB/cell

Cell: 4.889 4.889 4.652 Å, 90.00 90.00 90.00°
Positions (direct):
Ca 0.000 0.000 0.000
Co 0.500 0.500 0.000
Te 0.500 0.500 0.500
Os 0.000 0.500 0.500
Os 0.500 0.000 0.500

=====

Number 1: density of states at the Fermi level 3.8 states/eV/f.u.. Number 2: density of states at the Fermi level 4.6 states/eV/f.u.. Number 3: density of states at the Fermi level 6.0 states/eV/f.u..